Computed, not measured: an optimized crystal structure of Tb2TmAu at the PBE level of DFT.

polymorph energy (0 for the lowest one)	0.0	meV/atom
total DFT energy (no corrections)	-75.17	eV for the cell shown
volume	450.08	Å³/cell

Cell lengths 6.937, 9.723, 6.673 Å; angles 90.00, 90.00, 90.00 degrees
Space group Pnma (No. 62)
Symmetry-distinct sites (fractional):
Tb (0.200, 0.054, 0.196) (multiplicity 8)
Tm (0.017, 0.250, 0.617) (multiplicity 4)
Au (0.084, 0.750, 0.967) (multiplicity 4)